No. 1
Material: GdTh2Pd
Method: DFT, PBE
State: relaxed

Output
For the formation energy, the calculation gives -275.3 meV/atom. As for the crystal system: tetragonal.

a b c (Å): 3.6849 3.6849 8.2806
angles (deg): 90.00 90.00 90.00
Last column: nearest neighbours and their distance in Å.
Space group P4/mmm (No. 123)
Symmetry-distinct sites (fractional):
Gd 0.0000 0.0000 0.0000  8 Th 3.54, 4 Gd 3.68
Th 0.5000 0.5000 0.2901  4 Pd 3.13, 1 Th 3.48
Pd 0.0000 0.0000 0.5000  8 Th 3.13

=====

No. 2
Material: Li2AgSb
Method: DFT, PBE
State: relaxed

Output
As for the crystal system: tetragonal. The calculation puts the raw formation energy at -1.80 eV per formula unit.

a b c (Å): 4.7223 4.7223 6.5919
angles (deg): 90.00 90.00 90.00
Last column: nearest neighbours and their distance in Å.
Space group I-4m2 (No. 119)
Symmetry-distinct sites (fractional):
Li 0.0000 0.0000 0.0000  4 Li 2.88, 4 Ag 2.88
Li 0.0000 0.5000 0.2500  4 Li 2.88, 4 Sb 2.88
Ag 0.0000 0.5000 0.7500  4 Sb 2.88, 4 Li 2.88
Sb 0.0000 0.0000 0.5000  4 Li 2.88, 4 Ag 2.88